#1
DFT (PBE-GGA) results for a geometry-optimized ZrMn3N structure.

Unit cell a=4.883 b=4.883 c=4.883 alpha=90.00 beta=90.00 gamma=90.00
Fractional coordinates of all 5 atoms:
Zr 0.000 0.000 0.000
Mn 0.000 0.000 0.500
Mn 0.000 0.500 0.000
Mn 0.500 0.000 0.000
N 0.500 0.500 0.500

Output
M_tot = 8.65 μB per formula unit
crystal system = cubic

---

#2
DFT (PBE-GGA) results for a geometry-optimized ZrMn3N structure.

Unit cell a=3.881 b=3.881 c=3.881 alpha=90.00 beta=90.00 gamma=90.00
Fractional coordinates of all 5 atoms:
Zr 0.000 0.000 0.000
Mn 0.000 0.500 0.500
Mn 0.500 0.000 0.500
Mn 0.500 0.500 0.000
N 0.500 0.500 0.500

Output
M_tot = 1.67 μB per formula unit
crystal system = cubic

---

Stability summary - winner: #2; margin: 2.706 eV/atom.

---

#1
DFT (PBE-GGA) results for a geometry-optimized Na2MnNb structure.

Unit cell a=4.706 b=4.706 c=4.706 alpha=60.00 beta=60.00 gamma=60.00
Fractional coordinates of all 4 atoms:
Na 0.250 0.250 0.250
Na 0.750 0.750 0.750
Mn 0.000 0.000 0.000
Nb 0.500 0.500 0.500

Output
M_tot = 0.00 μB per formula unit
crystal system = cubic

---

#2
DFT (PBE-GGA) results for a geometry-optimized Na2MnNb structure.

Unit cell a=7.233 b=7.233 c=7.233 alpha=95.30 beta=95.30 gamma=144.60
Fractional coordinates of all 8 atoms:
Na 0.021 0.625 0.896
Na 0.375 0.271 0.396
Na 0.729 0.125 0.104
Na 0.875 0.979 0.604
Mn 0.000 0.000 0.000
Mn 0.750 0.250 0.500
Nb 0.250 0.750 0.500
Nb 0.500 0.500 0.000

Output
M_tot = 0.43 μB per formula unit
crystal system = tetragonal

---

Stability summary - winner: #2; margin: 0.370 eV/atom.

---

#1
DFT (PBE-GGA) results for a geometry-optimized NaMn3Ni structure.

Unit cell a=4.670 b=4.670 c=4.670 alpha=90.00 beta=90.00 gamma=90.00
Fractional coordinates of all 5 atoms:
Na 0.000 0.000 0.000
Mn 0.000 0.500 0.500
Mn 0.500 0.000 0.500
Mn 0.500 0.500 0.000
Ni 0.500 0.500 0.500

Output
M_tot = 13.06 μB per formula unit
crystal system = cubic

---

#2
DFT (PBE-GGA) results for a geometry-optimized NaMn3Ni structure.

Unit cell a=4.593 b=4.593 c=4.593 alpha=90.00 beta=90.00 gamma=90.00
Fractional coordinates of all 5 atoms:
Na 0.000 0.000 0.000
Mn 0.000 0.000 0.500
Mn 0.000 0.500 0.000
Mn 0.500 0.000 0.000
Ni 0.500 0.500 0.500

Output
M_tot = 12.20 μB per formula unit
crystal system = cubic

---

Stability summary - winner: #1; margin: 1.222 eV/atom.